GeIBr3: relaxed, PBE.

Values from the calculation:
Total DFT energy (no corrections) ... -11.420 eV for the cell shown
Density ... 4.58 Mg/m³
Formation energy from raw total energies ... -0.05 eV/atom

a b c (Å): 5.420 5.420 5.420
angles (deg): 90.00 90.00 90.00
Site moments in Bohr magnetons follow the coordinates.
Sites, in units of the cell vectors:
Br  0.500  0.000  0.000  0.16
Br  0.000  0.000  0.500  0.19
Ge  0.000  0.000  0.000  0.01
I  0.500  0.500  0.500  0.74
Br  0.000  0.500  0.000  0.10